# 1
The following is a DFT calculation (PBE-GGA) of a relaxed Tb4SmAl crystal.

Computed properties:
Calculated total energy: -27.68 eV/cell
Space group: P4/mmm
V: 178 Å³/cell
DFT formation energy: -0.7 eV per formula unit
Total magnetization: 0.00 μB/f.u.
Energy relative to the lowest polymorph listed for this composition: 0 meV/atom

Lattice parameters (Å, degrees): 3.5648 3.5648 14.0411 90.00 90.00 90.00
Fractional coordinates of all 6 atoms:
Tb1 0.0000 0.0000 0.1346
Tb2 0.0000 0.0000 0.8654
Tb3 0.5000 0.5000 0.3180
Tb4 0.5000 0.5000 0.6820
Sm1 0.0000 0.0000 0.5000
Al1 0.5000 0.5000 0.0000

=====

# 2
The following is a DFT calculation (PBE-GGA) of a relaxed YNi3Ir crystal.

Computed properties:
Calculated total energy: -30.58 eV/cell
Space group: Pm-3m
V: 95 Å³/cell
DFT formation energy: 2.1 eV per formula unit
Total magnetization: 2.32 μB/f.u.
Energy relative to the lowest polymorph listed for this composition: 662 meV/atom

Lattice parameters (Å, degrees): 4.5646 4.5646 4.5646 90.00 90.00 90.00
Fractional coordinates of all 5 atoms:
Y1 0.0000 0.0000 0.0000
Ni1 0.0000 0.5000 0.5000
Ni2 0.5000 0.0000 0.5000
Ni3 0.5000 0.5000 0.0000
Ir1 0.5000 0.5000 0.5000

=====

# 3
The following is a DFT calculation (PBE-GGA) of a relaxed Sr2CdSiI crystal.

Computed properties:
Calculated total energy: -9.78 eV/cell
Space group: P4/mmm
V: 214 Å³/cell
Total magnetization: 0.00 μB/f.u.
Energy relative to the lowest polymorph listed for this composition: 0 meV/atom
Formation energy from raw total energies: 295 meV/atom

Lattice parameters (Å, degrees): 6.1431 6.1431 5.6783 90.00 90.00 90.00
Fractional coordinates of all 5 atoms:
Sr1 0.0000 0.5000 0.0000
Sr2 0.5000 0.0000 0.0000
Cd1 0.0000 0.0000 0.5000
Si1 0.5000 0.5000 0.5000
I1 0.0000 0.0000 0.0000